1.
VASP calculation (PBE-GGA) on a relaxed CaCu2Ir crystal.

Structure (CIF):
```
data_CaCu2Ir
_cell_length_a 6.348
_cell_length_b 6.348
_cell_length_c 6.348
_cell_angle_alpha 90.00
_cell_angle_beta 90.00
_cell_angle_gamma 90.00
_space_group_name_H-M_alt 'F m -3 m'
_space_group_IT_number 225
_space_group_name_Hall '-F 4 2 3'
loop_
_atom_site_label
_atom_site_type_symbol
_atom_site_fract_x
_atom_site_fract_y
_atom_site_fract_z
Ca1 Ca 0.000 0.000 0.000
Cu1 Cu 0.250 0.250 0.250
Ir1 Ir 0.000 0.000 0.500
```

Output
calculated volume	15.99	Å³ per atom
energy above the lowest structure with this stoichiometry	123	meV per atom
ΔH_f (0 K)	32	meV/atom

=====

2.
VASP calculation (PBE-GGA) on a relaxed Ca3Cu2Ir crystal.

Structure (CIF):
```
data_Ca3Cu2Ir
_cell_length_a 11.625
_cell_length_b 4.289
_cell_length_c 11.649
_cell_angle_alpha 90.00
_cell_angle_beta 90.00
_cell_angle_gamma 90.00
_space_group_name_H-M_alt 'P n m a'
_space_group_IT_number 62
_space_group_name_Hall '-P 2ac 2n'
loop_
_atom_site_label
_atom_site_type_symbol
_atom_site_fract_x
_atom_site_fract_y
_atom_site_fract_z
Ca1 Ca 0.055 0.250 0.126
Ca2 Ca 0.113 0.750 0.551
Ca3 Ca 0.217 0.250 0.794
Cu1 Cu 0.027 0.750 0.311
Cu2 Cu 0.198 0.750 0.990
Ir1 Ir 0.128 0.250 0.368
```

Output
calculated volume	24.20	Å³ per atom
ΔH_f (0 K)	-216	meV/atom

=====

3.
VASP calculation (PBE-GGA) on a relaxed CaCu2Ir crystal.

Structure (CIF):
```
data_CaCu2Ir
_cell_length_a 4.279
_cell_length_b 4.279
_cell_length_c 3.446
_cell_angle_alpha 90.00
_cell_angle_beta 90.00
_cell_angle_gamma 90.00
_space_group_name_H-M_alt 'P 4/m m m'
_space_group_IT_number 123
_space_group_name_Hall '-P 4 2'
loop_
_atom_site_label
_atom_site_type_symbol
_atom_site_fract_x
_atom_site_fract_y
_atom_site_fract_z
Ca1 Ca 0.000 0.000 0.000
Cu1 Cu 0.000 0.500 0.500
Ir1 Ir 0.500 0.500 0.000
```

Output
calculated volume	15.78	Å³ per atom
energy above the lowest structure with this stoichiometry	140	meV per atom
ΔH_f (0 K)	48	meV/atom

=====

4.
VASP calculation (PBE-GGA) on a relaxed CaCu2Ir crystal.

Structure (CIF):
```
data_CaCu2Ir
_cell_length_a 2.963
_cell_length_b 4.195
_cell_length_c 5.446
_cell_angle_alpha 90.00
_cell_angle_beta 105.71
_cell_angle_gamma 90.00
_space_group_name_H-M_alt 'P 1 m 1'
_space_group_IT_number 6
_space_group_name_Hall 'P -2y'
loop_
_atom_site_label
_atom_site_type_symbol
_atom_site_fract_x
_atom_site_fract_y
_atom_site_fract_z
Ca1 Ca 0.000 0.000 0.000
Cu1 Cu 0.624 0.500 0.248
Cu2 Cu 0.745 0.000 0.502
Ir1 Ir 0.326 0.500 0.659
```

Output
calculated volume	16.29	Å³ per atom
energy above the lowest structure with this stoichiometry	191	meV per atom
ΔH_f (0 K)	99	meV/atom